! Ni3WO (PBE+U, optimized geometry); values from VASP
&SYSTEM
  ibrav = 0, nat = 5, ntyp = 3
/
ATOMIC_SPECIES
Ni 58.69 Ni.upf
W 183.84 W.upf
O 16.00 O.upf
ATOMIC_POSITIONS crystal
Ni 0.0000 0.0000 0.5000
Ni 0.0000 0.5000 0.0000
Ni 0.5000 0.0000 0.0000
W 0.5000 0.5000 0.5000
O 0.0000 0.0000 0.0000
CELL_PARAMETERS angstrom
4.0275 0.0000 0.0000
0.0000 4.0275 0.0000
0.0000 0.0000 4.0275
! - Relative energy among the computed polymorphs: 0 meV/atom
! - E: -16.255 eV per cell
! - Symmetry: Pm-3m, No. 221